# 1
10
Lattice="-1.8369 3.4637 0.8618 -3.5302 -1.6198 -1.0139 -1.3415 -3.1095 9.6381" Properties=species:S:1:pos:R:3 comment="Dy2MgBe3Pt4 | the Alexandria database | GGA-PBE | optimized geometry" energy_ev_per_cell=-55.1 spacegroup="No. 115" total_magnetization_mub_per_cell=0.0 pbc="T T T"
Be -0.6707 -1.5547 4.8190
Be -2.1050 -1.0187 8.9563
Be -1.9200 -1.1689 0.6057
Pt -2.6835 0.9219 -0.0761
Pt -2.2248 -1.8756 2.7962
Pt -1.8001 -0.3119 6.7658
Pt 0.0000 0.0000 0.0000
Mg -3.3543 -0.6328 4.7430
Dy -1.2323 1.0044 2.6857
Dy -2.7927 -3.1920 6.8763



# 2
4
Lattice="-1.0272 2.7515 -3.9723 -4.6464 1.4281 -0.8811 -1.2713 4.7429 0.5421" Properties=species:S:1:pos:R:3 comment="DyMgScBe | the Alexandria database | GGA-PBE | optimized geometry" energy_ev_per_cell=-15.9 spacegroup="No. 216" total_magnetization_mub_per_cell=0.0 pbc="T T T"
Mg 0.0000 0.0000 0.0000
Sc -1.7362 2.2306 -1.0778
Dy -5.2087 6.6918 -3.2335
Be -3.4725 4.4612 -2.1557



# 3
4
Lattice="-0.2198 2.4445 -4.5073 -4.5360 0.8162 -2.2580 -1.9234 4.7516 -0.2511" Properties=species:S:1:pos:R:3 comment="SmDyMgBe | the Alexandria database | GGA-PBE | optimized geometry" energy_ev_per_cell=-14.2 spacegroup="No. 216" total_magnetization_mub_per_cell=0.0 pbc="T T T"
Be 0.0000 0.0000 0.0000
Sm -5.0094 6.0092 -5.2624
Dy -1.6698 2.0031 -1.7541
Mg -3.3396 4.0061 -3.5083



# 4
4
Lattice="-3.2591 3.6792 -1.1849 -1.4309 0.6592 -4.8042 -4.7138 -1.1574 -1.4153" Properties=species:S:1:pos:R:3 comment="DyTmMgBe | the Alexandria database | GGA-PBE | optimized geometry" energy_ev_per_cell=-14.0 spacegroup="No. 216" total_magnetization_mub_per_cell=0.0 pbc="T T T"
Be 0.0000 0.0000 0.0000
Mg -4.7019 1.5905 -3.7022
Tm -7.0528 2.3858 -5.5533
Dy -2.3509 0.7953 -1.8511



# 5
19
Lattice="5.6182 0.0046 0.6680 0.5938 5.5868 0.6680 0.0051 0.0046 5.6578" Properties=species:S:1:pos:R:3 comment="DyMnBe17 | the Alexandria database | GGA-PBE | optimized geometry" energy_ev_per_cell=-78.4 spacegroup="No. 160" total_magnetization_mub_per_cell=2.7 pbc="T T T"
Be 3.9701 0.0425 2.1062
Be 4.1357 1.6131 0.7022
Be 1.3011 3.6472 4.2337
Be 6.1961 5.5770 4.1812
Be 3.4264 5.5770 6.6433
Be 1.6265 0.0425 4.1895
Be 0.2128 1.6131 4.1895
Be 0.6349 0.5715 0.7142
Be 0.4586 3.9437 2.1062
Be 3.7636 0.9114 4.2337
Be 2.0379 3.9437 0.7022
Be 5.6391 5.0757 6.3435
Be 5.9056 2.8226 6.6433
Be 5.0274 1.9055 2.7248
Be 2.1170 1.9055 5.3120
Be 4.0521 3.6472 1.7882
Be 2.4222 4.7998 2.7248
Dy 4.0935 3.6845 4.6049
Mn 2.0424 1.8383 2.2975



# 6
26
Lattice="-3.2870 3.2390 4.1824 -4.8355 -2.3731 -3.1266 -0.0416 -6.2849 4.8346" Properties=species:S:1:pos:R:3 comment="DyMn10Be2 | the Alexandria database | GGA-PBE | optimized geometry" energy_ev_per_cell=-208.1 spacegroup="No. 63" total_magnetization_mub_per_cell=2.4 pbc="T T T"
Mn -1.8983 -3.7778 4.8265
Mn -6.2657 -1.6412 1.0640
Mn -4.2285 -0.5971 0.0863
Mn -5.8916 -3.3521 5.3456
Mn -1.8333 0.1955 0.2383
Mn -4.2435 -2.8708 1.8353
Mn -2.2725 -2.0669 0.5449
Mn -1.8541 -2.9470 2.6556
Mn -4.5989 -5.1851 0.9995
Mn -3.1990 -5.0676 3.1387
Mn -4.6115 -7.0934 2.4675
Mn -4.9650 -0.3514 2.7518
Mn -6.3100 -2.4720 3.2349
Mn -5.3565 -4.8375 3.4192
Mn -2.8075 -0.5815 2.4713
Mn -3.9206 -2.5482 4.0552
Mn -3.5652 -0.2339 4.8910
Mn -3.9356 -4.8219 5.8042
Mn -6.2892 0.6705 0.8176
Mn -3.5526 1.6744 3.4230
Dy -3.5122 -2.1776 6.8929
Dy -4.6519 -3.2414 -1.0024
Be -2.4177 -1.1865 -1.5633
Be -2.4385 -4.3290 0.8540
Be -1.6435 1.6195 2.0912
Be -1.6643 -1.5229 4.5085



# 7
6
Lattice="-2.1104 -0.3113 2.2422 0.8769 -0.8532 2.8428 0.6621 7.9258 3.8593" Properties=species:S:1:pos:R:3 comment="DyBeN | the Alexandria database | GGA-PBE | optimized geometry" spacegroup="No. 160" raw_formation_energy_ev_per_atom=-0.537 total_magnetization_mub_per_cell=0.0 pbc="T T T"
Dy -0.0804 2.1743 2.3621
Dy 0.4264 6.1000 3.3840
N -0.6536 3.3281 6.2546
N -0.7915 -0.5371 3.4523
Be -0.2432 3.7104 4.5580
Be -0.3989 -0.2930 1.7198



# 8
5
Lattice="-3.1500 3.0866 1.7203 -3.3889 -3.2917 -0.2993 1.0011 -1.4307 4.4000" Properties=species:S:1:pos:R:3 comment="Dy3BeN | the Alexandria database | GGA-PBE | optimized geometry" spacegroup="No. 221" raw_formation_energy_ev_per_atom=-0.550 total_magnetization_mub_per_cell=0.0 pbc="T T T"
Dy -1.5750 1.5433 0.8602
Dy -1.6944 -1.6458 -0.1497
Dy 0.5005 -0.7154 2.2000
N 0.0000 0.0000 0.0000
Be -2.7689 -0.8179 2.9105